Material: Hf3N4
Method: DFT, GGA-PBEsol
State: optimized geometry

The structure in extended XYZ format:
```
7
Lattice="1.6891 0.9752 8.2804 -1.6891 0.9752 8.2804 0.0000 -1.9504 8.2804" Properties=species:S:1:pos:R:3 pbc="T T T"
Hf 0.0000 0.0000 0.0000
Hf 0.0000 0.0000 5.5215
Hf 0.0000 0.0000 19.3197
N 0.0000 0.0000 3.2889
N 0.0000 0.0000 9.3981
N 0.0000 0.0000 15.4431
N 0.0000 0.0000 21.5523
```

Excess energy over the best structure of this formula in the dataset ... 71 meV per atom
SG ... R-3m
Total moment ... 0.0000 μB/atom
ΔE_f (raw) ... -1771 meV/atom
VASP energy ... -11.145 eV/atom